# 1
Crystalline TbAgSn at its relaxed geometry, computed with PBE.

Summary:
As for the total DFT energy (no corrections): -3.513 eV/atom. The size of the total moment is 0.00 μB/f.u.

The structure in POSCAR format:
```
TbAgSn
1.0
-1.589 1.589 8.191
1.589 -1.589 8.191
1.589 1.589 -8.191
Tb Ag Sn
1 1 1
Direct
0.000 0.000 0.000
0.182 0.182 0.000
0.807 0.807 0.000
```

---

# 2
Crystalline MgMoPt at its relaxed geometry, computed with PBE.

Summary:
The calculation puts the relative energy among the computed polymorphs at 191.6 meV per atom. The size of the total moment is 0.00 μB/f.u.

The structure in POSCAR format:
```
MgMoPt
1.0
4.610 0.000 0.000
-2.305 3.992 0.000
0.000 0.000 5.215
Mg Mo Pt
2 2 2
Direct
0.333 0.667 0.250
0.667 0.333 0.750
0.000 0.000 0.000
0.000 0.000 0.500
0.333 0.667 0.750
0.667 0.333 0.250
```

---

# 3
Crystalline Zr2Al5Si at its relaxed geometry, computed with PBE.

Summary:
The value obtained for the raw formation energy is -0.07 eV per atom. The calculation puts the relative energy among the computed polymorphs at 338.4 meV per atom. The size of the total moment is 0.00 μB/f.u.

The structure in POSCAR format:
```
Zr2Al5Si
1.0
-1.440 4.984 5.194
1.440 -4.984 5.194
1.440 4.984 -5.194
Zr Al Si
2 5 1
Direct
0.227 0.227 0.000
0.773 0.773 0.000
0.145 0.865 0.279
0.414 0.135 0.279
0.500 0.500 0.000
0.586 0.865 0.721
0.855 0.135 0.721
0.000 0.500 0.500
```